1.
The following is a GGA-PBE calculation of a geometry-optimized SrLa3Ru structure, from Alexandria.

Lattice parameters (Å, degrees): 6.973 14.430 6.703 90.00 90.00 90.00
Space group Cmcm (No. 63)
Symmetry-distinct sites (fractional):
Sr (0.000, 0.069, 0.250)
La (0.000, 0.500, 0.000)
La (0.245, 0.301, 0.250)
Ru (0.000, 0.338, 0.750)

Uncorrected energy in eV for the cell shown: -103.24
E_form in eV/atom: -0.014
Fermi-level density of states in states/eV/cell: 27.7
Excess energy over the best structure of this formula in the dataset in meV/atom: 165
Total magnetization in μB per atom: 0.0000


2.
The following is a GGA-PBE calculation of a geometry-optimized LiEr3Tl2 structure, from Alexandria.

Lattice parameters (Å, degrees): 6.380 15.925 6.377 90.00 90.00 90.00
Space group Ibam (No. 72)
Symmetry-distinct sites (fractional):
Li (0.000, 0.000, 0.250)
Er (0.000, 0.500, 0.250)
Er (0.230, 0.177, 0.000)
Tl (0.244, 0.130, 0.500)

Uncorrected energy in eV for the cell shown: -86.21
E_form in eV/atom: -0.203
Fermi-level density of states in states/eV/cell: 10.1
Excess energy over the best structure of this formula in the dataset in meV/atom: 30
Total magnetization in μB per atom: 0.0000


3.
The following is a GGA-PBE calculation of a geometry-optimized BeSbW structure, from Alexandria.

Lattice parameters (Å, degrees): 4.1318 4.1318 3.2962 90.00 90.00 120.00
Space group P-6m2 (No. 187)
Symmetry-distinct sites (fractional):
Be (0.0000, 0.0000, 0.0000)
Sb (0.3333, 0.6667, 0.5000)
W (0.6667, 0.3333, 0.0000)

Uncorrected energy in eV for the cell shown: -18.73
Fermi-level density of states in states/eV/cell: 2.0
ΔE_f (raw) in eV/atom: 0.6907
Excess energy over the best structure of this formula in the dataset in meV/atom: 350
Total magnetization in μB per atom: 0.0000


4.
The following is a GGA-PBE calculation of a geometry-optimized CsLi2Cl3 structure, from Alexandria.

Lattice parameters (Å, degrees): 9.714 12.221 5.831 90.00 90.00 90.00
Space group Cmcm (No. 63)
Symmetry-distinct sites (fractional):
Cs (0.000, 0.182, 0.250)
Li (0.157, 0.500, 0.000)
Cl (0.000, 0.404, 0.750)
Cl (0.218, 0.108, 0.750)

Uncorrected energy in eV for the cell shown: -85.77
Fermi-level density of states in states/eV/cell: 0.0
ΔE_f (raw) in eV/atom: -1.8704
Total magnetization in μB per atom: 0.0000


5.
The following is a GGA-PBE calculation of a geometry-optimized Sr2CdGaAg6 structure, from Alexandria.

Lattice parameters (Å, degrees): 5.728 7.103 7.373 82.83 67.22 66.32
Space group P-1 (No. 2)
Symmetry-distinct sites (fractional):
Sr (0.038, 0.214, 0.210)
Cd (0.500, 0.500, 0.000)
Ga (0.500, 0.000, 0.500)
Ag (0.011, 0.246, 0.735)
Ag (0.339, 0.410, 0.412)
Ag (0.491, 0.754, 0.266)

Uncorrected energy in eV for the cell shown: -25.99
E_form in eV/atom: -0.158
Fermi-level density of states in states/eV/cell: 3.7
Total magnetization in μB per atom: 0.0000


6.
The following is a GGA-PBE calculation of a geometry-optimized BaAl2AsO6 structure, from Alexandria.

Lattice parameters (Å, degrees): 10.290 10.604 5.920 90.00 109.04 90.00
Space group C2/c (No. 15)
Symmetry-distinct sites (fractional):
Ba (0.000, 0.154, 0.250)
Al (0.234, 0.085, 0.831)
As (0.000, 0.326, 0.750)
O (0.095, 0.356, 0.078)
O (0.123, 0.218, 0.705)
O (0.191, 0.012, 0.067)

Uncorrected energy in eV for the cell shown: -270.64
Fermi-level density of states in states/eV/cell: 4.3
ΔE_f (raw) in eV/atom: -2.3853
Total magnetization in μB per atom: 0.1001